# 1
9
Lattice="6.888 0.000 0.000 0.000 2.965 0.000 -3.340 0.000 7.464" Properties=species:S:1:pos:R:3 comment="Ti2Ga6Pt (PBE, relaxed)" delta_e_f_ev_per_fu=-2.68 spacegroup="P2/m (10)" vol_a3_per_fu=152.45 dos_ef_per_ev_cell=5.67 pbc="T T T"
Ti 0.030 0.000 3.029
Ti 3.517 0.000 4.434
Ga -1.225 1.483 5.122
Ga 1.291 0.000 0.030
Ga 2.192 1.483 2.381
Ga 1.356 1.483 5.082
Ga 2.257 0.000 7.434
Ga 4.773 1.483 2.342
Pt 3.444 1.483 0.000

=====

# 2
5
Lattice="3.931 0.000 0.000 0.000 3.931 0.000 0.000 0.000 4.027" Properties=species:S:1:pos:R:3 comment="InNi2RuN (PBE, relaxed)" formation_energy_uncorrected_ev_per_atom=0.01 spacegroup="P4/mmm (123)" vol_a3_per_fu=62.23 dos_ef_per_ev_cell=2.88 pbc="T T T"
In 0.000 0.000 0.000
Ni 0.000 1.966 2.013
Ni 1.966 0.000 2.013
Ru 1.966 1.966 0.000
N 1.966 1.966 2.013

=====

# 3
8
Lattice="-2.583 2.583 8.907 2.583 -2.583 8.907 2.583 2.583 -8.907" Properties=species:S:1:pos:R:3 comment="SrSnPd2 (PBE, relaxed)" delta_e_f_ev_per_fu=-1.48 spacegroup="I-42d (122)" vol_a3_per_fu=118.85 dos_ef_per_ev_cell=8.87 pbc="T T T"
Sr 0.000 0.000 0.000
Sr 0.000 2.583 4.454
Sn 2.583 0.000 4.454
Sn 0.000 0.000 8.907
Pd 1.291 -0.255 6.680
Pd 2.328 1.291 2.227
Pd 1.291 2.838 -2.227
Pd 0.255 1.291 11.134

=====

# 4
4
Lattice="1.834 1.059 6.969 -1.834 1.059 6.969 0.000 -2.118 6.969" Properties=species:S:1:pos:R:3 comment="TlCrSi2 (PBE, relaxed)" formation_energy_uncorrected_ev_per_atom=0.46 spacegroup="R3m (160)" vol_a3_per_fu=81.20 dos_ef_per_ev_cell=1.30 pbc="T T T"
Tl 0.000 0.000 0.000
Cr 0.000 0.000 16.083
Si 0.000 0.000 4.630
Si 0.000 0.000 10.512

=====

# 5
14
Lattice="5.722 0.000 0.000 0.000 4.608 0.000 -1.739 0.000 7.503" Properties=species:S:1:pos:R:3 comment="KCeBeO4 (PBE, relaxed)" formation_energy_uncorrected_ev_per_atom=-2.41 spacegroup="P2_1/m (11)" vol_a3_per_fu=98.93 dos_ef_per_ev_cell=2.25 pbc="T T T"
K 0.572 1.152 3.430
K 3.412 3.456 4.073
Ce -0.289 1.152 6.982
Ce 4.272 3.456 0.521
Be 1.194 3.456 1.347
Be 2.789 1.152 6.156
O -0.146 3.456 2.222
O -1.010 3.456 7.256
O 2.371 2.315 1.486
O 2.371 4.597 1.486
O 1.612 0.011 6.017
O 1.612 2.293 6.017
O 4.993 1.152 0.247
O 4.129 1.152 5.281

=====

# 6
4
Lattice="1.498 -1.759 0.000 1.498 1.759 0.000 0.000 0.000 7.813" Properties=species:S:1:pos:R:3 comment="LiBe2Cr (PBE, relaxed)" delta_e_f_ev_per_fu=0.87 spacegroup="Cmm2 (35)" vol_a3_per_fu=41.17 dos_ef_per_ev_cell=3.20 pbc="T T T"
Li 0.000 0.000 0.000
Be 0.000 0.000 3.675
Be 1.498 0.000 2.058
Cr 1.498 0.000 5.523

=====

# 7
9
Lattice="5.587 -2.073 0.000 5.587 2.073 0.000 -2.788 0.000 7.612" Properties=species:S:1:pos:R:3 comment="Ce3Si4Ir2 (PBE, relaxed)" formation_energy_uncorrected_ev_per_atom=-0.88 spacegroup="C2/m (12)" vol_a3_per_fu=176.32 dos_ef_per_ev_cell=9.58 pbc="T T T"
Ce 0.000 0.000 0.000
Ce 3.521 0.000 2.391
Ce 4.864 0.000 5.221
Si 0.052 0.000 2.988
Si 0.526 0.000 7.072
Si 7.859 0.000 0.540
Si 8.334 0.000 4.625
Ir 1.585 0.000 4.902
Ir 6.800 0.000 2.710

=====

# 8
4
Lattice="0.000 3.577 3.577 3.577 0.000 3.577 3.577 3.577 0.000" Properties=species:S:1:pos:R:3 comment="TbYCuAg (PBE, relaxed)" delta_e_f_ev_per_fu=-1.04 spacegroup="F-43m (216)" vol_a3_per_fu=91.55 dos_ef_per_ev_cell=2.40 pbc="T T T"
Tb 0.000 0.000 0.000
Y 3.577 3.577 3.577
Cu 5.366 5.366 5.366
Ag 1.789 1.789 1.789

=====

# 9
4
Lattice="0.000 3.873 3.873 3.873 0.000 3.873 3.873 3.873 0.000" Properties=species:S:1:pos:R:3 comment="KTlAgHg (PBE, relaxed)" delta_e_f_ev_per_fu=-0.05 spacegroup="F-43m (216)" vol_a3_per_fu=116.23 dos_ef_per_ev_cell=1.20 pbc="T T T"
K 0.000 0.000 0.000
Tl 3.873 3.873 3.873
Ag 5.810 5.810 5.810
Hg 1.937 1.937 1.937

=====

# 10
10
Lattice="3.999 0.000 0.000 0.000 3.999 0.000 0.000 0.000 21.373" Properties=species:S:1:pos:R:3 comment="Ac5CeHg4 (PBE, relaxed)" delta_e_f_ev_per_fu=-3.36 spacegroup="P4/mmm (123)" vol_a3_per_fu=341.80 dos_ef_per_ev_cell=14.78 pbc="T T T"
Ac 0.000 0.000 0.000
Ac 0.000 0.000 4.106
Ac 0.000 0.000 8.218
Ac 0.000 0.000 13.155
Ac 0.000 0.000 17.266
Ce 2.000 2.000 10.686
Hg 2.000 2.000 2.036
Hg 2.000 2.000 6.218
Hg 2.000 2.000 15.155
Hg 2.000 2.000 19.337

=====

# 11
7
Lattice="2.199 1.269 9.364 -2.199 1.269 9.364 0.000 -2.539 9.364" Properties=species:S:1:pos:R:3 comment="Pm2DyGa2Cu2 (PBE, relaxed)" delta_e_f_ev_per_fu=-2.74 spacegroup="R-3m (166)" vol_a3_per_fu=156.83 dos_ef_per_ev_cell=5.83 pbc="T T T"
Pm 0.000 0.000 3.453
Pm 0.000 0.000 24.638
Dy 0.000 0.000 0.000
Ga 0.000 0.000 7.540
Ga 0.000 0.000 20.551
Cu 0.000 0.000 11.024
Cu 0.000 0.000 17.067

=====

# 12
4
Lattice="3.293 0.000 0.000 0.000 3.293 0.000 0.000 0.000 6.013" Properties=species:S:1:pos:R:3 comment="Co2AsPb (PBE, relaxed)" delta_e_f_ev_per_fu=0.94 spacegroup="P4mm (99)" vol_a3_per_fu=65.19 dos_ef_per_ev_cell=3.37 pbc="T T T"
Co 0.000 0.000 0.000
Co 1.646 1.646 1.624
As 1.646 1.646 5.373
Pb 0.000 0.000 3.022

=====

# 13
10
Lattice="5.107 -5.239 0.000 5.107 5.239 0.000 -3.470 0.000 9.966" Properties=species:S:1:pos:R:3 comment="BaSr2Ca2 (PBE, relaxed)" delta_e_f_ev_per_fu=0.90 spacegroup="C2/c (15)" vol_a3_per_fu=266.60 dos_ef_per_ev_cell=15.07 pbc="T T T"
Ba 2.504 3.269 7.474
Ba 4.239 -3.269 2.491
Sr -0.593 1.205 6.315
Sr 1.142 -1.205 1.332
Sr 5.601 1.205 8.634
Sr 7.336 -1.205 3.651
Ca 2.553 2.619 0.000
Ca 0.819 -2.619 4.983
Ca 5.107 0.000 0.000
Ca 3.372 0.000 4.983

=====

# 14
4
Lattice="-2.168 2.168 5.378 2.168 -2.168 5.378 2.168 2.168 -5.378" Properties=species:S:1:pos:R:3 comment="Al2TlTe (PBE, relaxed)" formation_energy_uncorrected_ev_per_atom=0.20 spacegroup="I-4m2 (119)" vol_a3_per_fu=101.08 dos_ef_per_ev_cell=1.67 pbc="T T T"
Al 0.000 0.000 0.000
Al 0.000 2.168 2.689
Tl 0.000 0.000 5.378
Te 2.168 0.000 2.689

=====

# 15
4
Lattice="2.619 0.000 0.000 0.000 2.619 0.000 0.000 0.000 7.244" Properties=species:S:1:pos:R:3 comment="Fe2CuRu (PBE, relaxed)" delta_e_f_ev_per_fu=0.73 spacegroup="P4/mmm (123)" vol_a3_per_fu=49.68 dos_ef_per_ev_cell=5.02 pbc="T T T"
Fe 0.000 0.000 1.786
Fe 0.000 0.000 5.458
Cu 1.309 1.309 0.000
Ru 1.309 1.309 3.622

=====

# 16
14
Lattice="1.961 -10.222 0.000 1.961 10.222 0.000 0.000 0.000 7.067" Properties=species:S:1:pos:R:3 comment="Pa3Sb2H2 (PBE, relaxed)" spacegroup="Cmcm (63)" e_tot_ev_per_atom=-6.536 vol_a3_per_fu=141.62 dos_ef_per_ev_cell=19.46 pbc="T T T"
Pa 1.961 8.455 3.979
Pa 1.961 8.455 6.621
Pa 1.961 3.864 5.300
Pa 1.961 -3.864 1.767
Pa 1.961 -8.455 0.446
Pa 1.961 -8.455 3.088
Sb 1.961 3.854 1.767
Sb 1.961 0.577 5.300
Sb 1.961 -0.577 1.767
Sb 1.961 -3.854 5.300
H 1.961 6.627 0.766
H 1.961 6.627 2.767
H 1.961 -6.627 4.300
H 1.961 -6.627 6.300

=====

# 17
10
Lattice="2.674 1.544 4.790 -2.674 1.544 4.790 0.000 -3.088 4.790" Properties=species:S:1:pos:R:3 comment="MgSc2SnO6 (PBE, relaxed)" formation_energy_uncorrected_ev_per_atom=-2.78 spacegroup="R3 (146)" vol_a3_per_fu=118.64 dos_ef_per_ev_cell=0.00 pbc="T T T"
Mg 0.000 0.000 0.000
Sc 0.000 0.000 4.139
Sc 0.000 0.000 11.305
Sn 0.000 0.000 7.131
O -1.592 0.001 5.675
O -1.056 -1.513 8.059
O 0.795 -1.379 5.675
O -0.782 1.671 8.059
O 0.797 1.378 5.675
O 1.838 -0.158 8.059

=====

# 18
11
Lattice="4.908 0.000 0.000 0.000 4.908 0.000 0.000 0.000 12.268" Properties=species:S:1:pos:R:3 comment="Pr2MgIn8 (PBE, relaxed)" delta_e_f_ev_per_fu=-3.57 spacegroup="P4/mmm (123)" vol_a3_per_fu=295.56 dos_ef_per_ev_cell=4.04 pbc="T T T"
Pr 0.000 0.000 2.321
Pr 0.000 0.000 9.947
Mg 0.000 0.000 6.134
In 0.000 2.454 0.000
In 0.000 2.454 4.542
In 0.000 2.454 7.726
In 2.454 0.000 0.000
In 2.454 0.000 4.542
In 2.454 0.000 7.726
In 2.454 2.454 2.326
In 2.454 2.454 9.943

=====

# 19
14
Lattice="1.843 -6.357 0.000 1.843 6.357 0.000 0.000 0.000 12.728" Properties=species:S:1:pos:R:3 comment="ScIn2S4 (PBE, relaxed)" formation_energy_uncorrected_ev_per_atom=-0.89 spacegroup="Cmcm (63)" vol_a3_per_fu=149.09 dos_ef_per_ev_cell=4.73 pbc="T T T"
Sc 1.843 4.827 9.546
Sc 1.843 -4.827 3.182
In 1.843 1.664 7.275
In 1.843 1.664 11.817
In 1.843 -1.664 0.911
In 1.843 -1.664 5.453
S 0.000 0.000 0.000
S 0.000 0.000 6.364
S 1.843 2.748 1.579
S 1.843 2.748 4.785
S 1.843 0.310 9.546
S 1.843 -0.310 3.182
S 1.843 -2.748 7.943
S 1.843 -2.748 11.149

=====

# 20
8
Lattice="7.277 0.000 0.000 0.000 4.227 0.000 -2.452 0.000 6.911" Properties=species:S:1:pos:R:3 comment="Tm4SnBiSe2 (PBE, relaxed)" formation_energy_uncorrected_ev_per_atom=-1.18 spacegroup="P2/m (10)" vol_a3_per_fu=212.58 dos_ef_per_ev_cell=1.63 pbc="T T T"
Tm 1.151 0.000 1.649
Tm -0.083 2.113 5.210
Tm 4.908 2.113 1.702
Tm 3.674 0.000 5.263
Sn 3.639 0.000 0.000
Bi 2.413 2.113 3.456
Se -1.226 0.000 3.456
Se 0.000 2.113 0.000